Record 1
Density functional theory data (GGA-PBE) for an optimized crystal structure of CaAcHgGe.

Output
Calculated formation energy ... -0.559 eV per atom
Energy ... -0.244 Ry per atom
N(E_F) ... 3.08 states/eV/f.u.

abc: 5.474 5.474 5.474
angles: 60.00 60.00 60.00
Fractional positions:
Ac 0.000 0.000 0.000
Hg 0.750 0.750 0.750
Ge 0.250 0.250 0.250
Ca 0.500 0.500 0.500

---

Record 2
Density functional theory data (GGA-PBE) for an optimized crystal structure of CaAcGeIr.

Output
Calculated formation energy ... -0.563 eV per atom
Energy ... -0.401 Ry per atom
N(E_F) ... 3.53 states/eV/f.u.
Excess energy over the best structure of this formula in the dataset ... 0.00 eV/f.u.

abc: 4.341 4.341 8.136
angles: 74.53 74.53 60.00
Fractional positions:
Ac 0.847 0.847 0.458
Ca 0.014 0.014 0.959
Ge 0.606 0.606 0.182
Ir 0.259 0.259 0.224

---

Record 3
Density functional theory data (GGA-PBE) for an optimized crystal structure of CaAcGeIr.

Output
Calculated formation energy ... -0.377 eV per atom
Energy ... -0.388 Ry per atom
N(E_F) ... 1.87 states/eV/f.u.
Excess energy over the best structure of this formula in the dataset ... 0.74 eV/f.u.

abc: 5.213 5.213 5.213
angles: 60.00 60.00 60.00
Fractional positions:
Ca 0.000 0.000 0.000
Ir 0.250 0.250 0.250
Ge 0.750 0.750 0.750
Ac 0.500 0.500 0.500

---

Record 4
Density functional theory data (GGA-PBE) for an optimized crystal structure of Li2Ca2AcGe2.

Output
Calculated formation energy ... -0.490 eV per atom
Energy ... -0.258 Ry per atom
N(E_F) ... 2.78 states/eV/f.u.

abc: 4.691 4.691 9.765
angles: 76.10 76.10 60.00
Fractional positions:
Li 0.413 0.413 0.761
Li 0.587 0.587 0.239
Ge 0.257 0.257 0.229
Ge 0.743 0.743 0.771
Ca 0.130 0.130 0.610
Ca 0.870 0.870 0.390
Ac 0.000 0.000 0.000

---

Record 5
Density functional theory data (GGA-PBE) for an optimized crystal structure of Li3CaAc2Ge4.

Output
Calculated formation energy ... -0.536 eV per atom
Energy ... -0.292 Ry per atom
N(E_F) ... 5.35 states/eV/f.u.

abc: 4.419 4.419 12.008
angles: 90.00 90.00 90.00
Fractional positions:
Ge 0.000 0.000 0.000
Ge 0.500 0.000 0.665
Ge 0.500 0.500 0.000
Ge 0.000 0.500 0.335
Ac 0.000 0.500 0.778
Ac 0.500 0.000 0.222
Li 0.000 0.500 0.119
Li 0.000 0.000 0.500
Li 0.500 0.000 0.881
Ca 0.500 0.500 0.500

---

Record 6
Density functional theory data (GGA-PBE) for an optimized crystal structure of Ca2AcGeN4.

Output
Raw formation energy ... -618 meV/atom
Energy ... -0.468 Ry per atom
N(E_F) ... 5.23 states/eV/f.u.

abc: 3.472 6.226 12.055
angles: 90.00 90.00 106.19
Site moments in Bohr magnetons follow the coordinates.
Fractional positions:
N 0.000 0.000 0.000  0.51
N 0.424 0.847 0.750  0.04
N 0.732 0.464 0.870  0.06
N 0.268 0.536 0.370  0.06
N 0.732 0.464 0.630  0.06
N 0.000 0.000 0.500  0.51
N 0.268 0.536 0.130  0.06
N 0.576 0.153 0.250  0.04
Ca 0.364 0.728 0.543  0.01
Ca 0.364 0.728 0.957  0.01
Ca 0.636 0.272 0.043  0.01
Ca 0.636 0.272 0.457  0.01
Ac 0.901 0.802 0.250  0.00
Ac 0.099 0.198 0.750  0.00
Ge 0.827 0.653 0.750  0.00
Ge 0.173 0.347 0.250  0.00

---

Record 7
Density functional theory data (GGA-PBE) for an optimized crystal structure of CaAc2GeN4.

Output
Raw formation energy ... -666 meV/atom
Energy ... -0.491 Ry per atom
N(E_F) ... 1.73 states/eV/f.u.

abc: 3.634 6.828 12.709
angles: 90.00 90.00 105.44
Fractional positions:
Ge 0.187 0.375 0.250
Ge 0.813 0.625 0.750
N 0.272 0.545 0.367
N 0.391 0.783 0.750
N 0.000 0.000 0.000
N 0.728 0.455 0.867
N 0.609 0.217 0.250
N 0.272 0.545 0.133
N 0.000 0.000 0.500
N 0.728 0.455 0.633
Ca 0.130 0.261 0.750
Ca 0.870 0.739 0.250
Ac 0.628 0.256 0.459
Ac 0.372 0.744 0.541
Ac 0.628 0.256 0.041
Ac 0.372 0.744 0.959

---

Record 8
Density functional theory data (GGA-PBE) for an optimized crystal structure of CaAc3Ge2N6.

Output
Raw formation energy ... -618 meV/atom
Energy ... -0.496 Ry per atom
N(E_F) ... 4.32 states/eV/f.u.

abc: 6.147 6.147 6.666
angles: 90.00 90.00 120.00
Fractional positions:
Ge 0.333 0.667 0.185
Ge 0.667 0.333 0.815
N 0.174 0.826 0.286
N 0.174 0.348 0.286
N 0.826 0.652 0.714
N 0.826 0.174 0.714
N 0.348 0.174 0.714
N 0.652 0.826 0.286
Ca 0.000 0.000 0.500
Ac 0.333 0.667 0.639
Ac 0.667 0.333 0.361
Ac 0.000 0.000 0.000